Material: K2Fe3F10
Method: DFT, PBE+U
State: optimized geometry

Properties
As for the symmetry: C2/m (12). The crystal system is monoclinic.

Unit cell a=9.994 b=9.994 c=7.957 alpha=111.82 beta=111.82 gamma=36.54
Fractional positions:
K 0.109 0.109 0.210
K 0.212 0.212 0.837
K 0.788 0.788 0.163
K 0.891 0.891 0.790
Fe 0.244 0.756 0.500
Fe 0.317 0.317 0.480
Fe 0.421 0.421 0.031
Fe 0.579 0.579 0.969
Fe 0.683 0.683 0.520
Fe 0.756 0.244 0.500
F 0.000 0.500 0.500
F 0.013 0.013 0.682
F 0.130 0.584 0.026
F 0.159 0.615 0.473
F 0.261 0.261 0.230
F 0.301 0.699 0.000
F 0.366 0.366 0.750
F 0.385 0.841 0.527
F 0.416 0.870 0.974
F 0.476 0.476 0.301
F 0.500 0.000 0.500
F 0.524 0.524 0.699
F 0.584 0.130 0.026
F 0.615 0.159 0.473
F 0.634 0.634 0.250
F 0.699 0.301 0.000
F 0.739 0.739 0.770
F 0.841 0.385 0.527
F 0.870 0.416 0.974
F 0.987 0.987 0.318

Material: MgFePb2O6
Method: DFT, PBE+U
State: optimized geometry

Properties
As for the density of states at the Fermi level: 2.072 states/eV per cell. As for the symmetry: R3 (146). The crystal system is trigonal.

Unit cell a=5.814 b=5.814 c=5.814 alpha=56.63 beta=56.63 gamma=56.63
Fractional positions:
Mg 0.000 0.000 0.000
Fe 0.505 0.505 0.505
Pb 0.215 0.215 0.215
Pb 0.724 0.724 0.724
O 0.162 0.782 0.366
O 0.290 0.625 0.882
O 0.366 0.162 0.782
O 0.625 0.882 0.290
O 0.782 0.366 0.162
O 0.882 0.290 0.625

Calculated energy (eV for the cell shown), listed in the same order as above: -153.45, -58.11